Computed, not measured: crystalline TaMoW2 at its relaxed geometry at the PBEsol level of DFT.

Computed properties:
Distance to the lowest polymorph of the same formula, meV/atom: 54
Formation enthalpy at 0 K, eV per atom: -0.060
Theoretical density, g/cm³: 16.8
Space group: No. 65
VASP energy, eV for the cell shown: -52.17

Structure (CIF):
```
data_TaMoW2
_chemical_formula_sum 'Ta1 Mo1 W2'
_cell_length_a 2.7556
_cell_length_b 2.7556
_cell_length_c 8.9460
_cell_angle_alpha 90.00
_cell_angle_beta 90.00
_cell_angle_gamma 109.86
_space_group_name_H-M_alt 'P 1'
_space_group_IT_number 1
_space_group_name_Hall 'P 1'
loop_
_atom_site_label
_atom_site_type_symbol
_atom_site_fract_x
_atom_site_fract_y
_atom_site_fract_z
Ta1 Ta 0.0000 0.0000 0.0000
Mo1 Mo 0.0000 0.0000 0.5000
W1 W 0.5000 0.5000 0.2561
W2 W 0.5000 0.5000 0.7439
```

=====

Computed, not measured: crystalline ZrGa2HgPd at its relaxed geometry at the PBEsol level of DFT.

Computed properties:
Formation enthalpy at 0 K, eV per atom: 0.681
Theoretical density, g/cm³: 7.9
Space group: No. 123
VASP energy, eV for the cell shown: -18.89

Structure (CIF):
```
data_ZrGa2HgPd
_chemical_formula_sum 'Zr1 Ga2 Hg1 Pd1'
_cell_length_a 4.7811
_cell_length_b 4.7811
_cell_length_c 4.9276
_cell_angle_alpha 90.00
_cell_angle_beta 90.00
_cell_angle_gamma 90.00
_space_group_name_H-M_alt 'P 1'
_space_group_IT_number 1
_space_group_name_Hall 'P 1'
loop_
_atom_site_label
_atom_site_type_symbol
_atom_site_fract_x
_atom_site_fract_y
_atom_site_fract_z
Zr1 Zr 0.0000 0.0000 0.0000
Ga1 Ga 0.0000 0.5000 0.5000
Ga2 Ga 0.5000 0.0000 0.5000
Hg1 Hg 0.5000 0.5000 0.5000
Pd1 Pd 0.5000 0.5000 0.0000
```

=====

Computed, not measured: crystalline Zr2CuPb2 at its relaxed geometry at the PBEsol level of DFT.

Computed properties:
Formation enthalpy at 0 K, eV per atom: 0.527
Theoretical density, g/cm³: 9.2
Space group: No. 139
VASP energy, eV for the cell shown: -27.88

Structure (CIF):
```
data_Zr2CuPb2
_chemical_formula_sum 'Zr2 Cu1 Pb2'
_cell_length_a 7.5526
_cell_length_b 7.5526
_cell_length_c 7.5526
_cell_angle_alpha 148.13
_cell_angle_beta 148.13
_cell_angle_gamma 45.69
_space_group_name_H-M_alt 'P 1'
_space_group_IT_number 1
_space_group_name_Hall 'P 1'
loop_
_atom_site_label
_atom_site_type_symbol
_atom_site_fract_x
_atom_site_fract_y
_atom_site_fract_z
Zr1 Zr 0.0886 0.0886 0.0000
Zr2 Zr 0.9114 0.9114 0.0000
Cu1 Cu 0.5000 0.5000 0.0000
Pb1 Pb 0.2500 0.7500 0.5000
Pb2 Pb 0.7500 0.2500 0.5000
```

=====

Computed, not measured: crystalline KTa2InRu at its relaxed geometry at the PBEsol level of DFT.

Computed properties:
Formation enthalpy at 0 K, eV per atom: 2.673
Theoretical density, g/cm³: 10.7
Space group: No. 123
VASP energy, eV for the cell shown: -26.03

Structure (CIF):
```
data_KTa2InRu
_chemical_formula_sum 'K1 Ta2 In1 Ru1'
_cell_length_a 4.6334
_cell_length_b 4.6334
_cell_length_c 4.4705
_cell_angle_alpha 90.00
_cell_angle_beta 90.00
_cell_angle_gamma 90.00
_space_group_name_H-M_alt 'P 1'
_space_group_IT_number 1
_space_group_name_Hall 'P 1'
loop_
_atom_site_label
_atom_site_type_symbol
_atom_site_fract_x
_atom_site_fract_y
_atom_site_fract_z
K1 K 0.0000 0.0000 0.0000
Ta1 Ta 0.0000 0.5000 0.0000
Ta2 Ta 0.5000 0.0000 0.0000
In1 In 0.5000 0.5000 0.5000
Ru1 Ru 0.0000 0.0000 0.5000
```